TiAl5Rh4 | PBE-GGA | optimized geometry

The density of states at the Fermi level is 0.33 states/eV per atom. As for the size of the total moment: 0.0 μB/f.u. The total energy comes out at -6.550 eV per atom.

The space group is P4/mmm (No. 123) and the conventional cell measures 2.979, 2.979 and 15.887 Å, with angles of 90.00, 90.00 and 90.00 degrees. The distinct sites, in fractional coordinates, are Ti at (0.000, 0.000, 0.000), Al at (0.500, 0.500, 0.118), Al at (0.500, 0.500, 0.308), Al at (0.500, 0.500, 0.500), Rh at (0.000, 0.000, 0.214) and Rh at (0.000, 0.000, 0.405).


TiAlRh2 | PBE-GGA | optimized geometry

The density of states at the Fermi level is 0.64 states/eV per atom. As for the size of the total moment: 0.0 μB/f.u. The total energy comes out at -6.961 eV per atom.

The space group is I-42d (No. 122) and the conventional cell measures 6.655, 6.655 and 5.732 Å, with angles of 90.00, 90.00 and 90.00 degrees. The distinct sites, in fractional coordinates, are Ti at (0.000, 0.000, 0.000), Al at (0.000, 0.000, 0.500) and Rh at (0.247, 0.750, 0.125).


TiAl3Rh2 | PBE-GGA | optimized geometry

The density of states at the Fermi level is 0.47 states/eV per atom. As for the size of the total moment: 0.0 μB/f.u. The total energy comes out at -6.486 eV per atom.

The space group is P4/mmm (No. 123) and the conventional cell measures 2.953, 2.953 and 9.952 Å, with angles of 90.00, 90.00 and 90.00 degrees. The distinct sites, in fractional coordinates, are Ti at (0.000, 0.000, 0.000), Al at (0.500, 0.500, 0.192), Al at (0.500, 0.500, 0.500) and Rh at (0.000, 0.000, 0.346).


Ti2Al6Rh | PBE-GGA | optimized geometry

The density of states at the Fermi level is 0.62 states/eV per atom. As for the size of the total moment: 0.0 μB/f.u. The total energy comes out at -5.394 eV per atom.

The space group is C2/m (No. 12) and the conventional cell measures 13.834, 7.190 and 2.959 Å, with angles of 90.00, 90.21 and 90.00 degrees. The distinct sites, in fractional coordinates, are Ti at (0.191, 0.000, 0.499), Al at (0.000, 0.195, 0.500), Al at (0.159, 0.318, 0.999) and Rh at (0.000, 0.500, 0.000).


TiAlRh5 | PBE-GGA | optimized geometry

The density of states at the Fermi level is 1.17 states/eV per atom. As for the size of the total moment: 0.0 μB/f.u. The total energy comes out at -7.359 eV per atom.

The space group is P4/mmm (No. 123) and the conventional cell measures 4.029, 4.029 and 6.465 Å, with angles of 90.00, 90.00 and 90.00 degrees. The distinct sites, in fractional coordinates, are Ti at (0.000, 0.000, 0.000), Al at (0.500, 0.500, 0.500), Rh at (0.000, 0.500, 0.276) and Rh at (0.500, 0.500, 0.000).


TiAl4Rh5 | PBE-GGA | optimized geometry

The density of states at the Fermi level is 0.49 states/eV per atom. As for the size of the total moment: 0.0 μB/f.u. The total energy comes out at -6.993 eV per atom.

The space group is P4/mmm (No. 123) and the conventional cell measures 2.956, 2.956 and 15.846 Å, with angles of 90.00, 90.00 and 90.00 degrees. The distinct sites, in fractional coordinates, are Ti at (0.000, 0.000, 0.000), Al at (0.000, 0.000, 0.207), Al at (0.000, 0.000, 0.403), Rh at (0.500, 0.500, 0.111), Rh at (0.500, 0.500, 0.307) and Rh at (0.500, 0.500, 0.500).